A plane-wave DFT calculation with PBE was carried out for a geometry-optimized Pr3Bi2Br2 structure.

a b c (Å): 4.627 6.119 9.495
angles (deg): 100.43 90.00 112.21
Positions (direct):
Pr: 0.000 0.000 0.000
Pr: 0.819 0.637 0.325
Pr: 0.181 0.363 0.675
Bi: 0.885 0.769 0.663
Bi: 0.115 0.231 0.337
Br: 0.643 0.286 0.903
Br: 0.357 0.714 0.097

Computed properties:
The calculation puts the density of states at the Fermi level at 2.74 states/eV per cell. The energy is -4.663 eV/atom.

=====

A plane-wave DFT calculation with PBE was carried out for a geometry-optimized CaPmLu2 structure.

a b c (Å): 5.705 5.705 5.705
angles (deg): 60.00 60.00 60.00
Positions (direct):
Ca: 0.500 0.500 0.500
Lu: 0.250 0.250 0.250
Lu: 0.750 0.750 0.750
Pm: 0.000 0.000 0.000

Computed properties:
The calculation puts the formation enthalpy at 0 K at 0.1722 eV per atom. The energy above the lowest structure with this stoichiometry is 85.0 meV per atom. The calculation puts the density of states at the Fermi level at 6.25 states/eV per cell. The energy is -3.776 eV/atom.

=====

A plane-wave DFT calculation with PBE was carried out for a geometry-optimized RbPdNCl2 structure.

a b c (Å): 5.593 3.756 5.593
angles (deg): 90.00 90.00 90.00
Positions (direct):
N: 0.000 0.000 0.000
Rb: 0.500 0.500 0.500
Pd: 0.000 0.500 0.000
Cl: 0.000 0.000 0.500
Cl: 0.500 0.000 0.000

Computed properties:
The calculation puts the density of states at the Fermi level at 3.65 states/eV per cell. The energy is -3.693 eV/atom.

=====

A plane-wave DFT calculation with PBE was carried out for a geometry-optimized Tl2CuClO structure.

a b c (Å): 5.683 5.683 3.643
angles (deg): 90.00 90.00 90.00
Positions (direct):
Tl: 0.000 0.500 0.000
Tl: 0.500 0.000 0.000
O: 0.000 0.000 0.000
Cu: 0.000 0.000 0.500
Cl: 0.500 0.500 0.500

Computed properties:
The calculation puts the density of states at the Fermi level at 1.05 states/eV per cell. The energy is -3.758 eV/atom.

=====

A plane-wave DFT calculation with PBE was carried out for a geometry-optimized ScCr2H structure.

a b c (Å): 5.156 5.156 5.159
angles (deg): 60.02 60.02 90.00
Positions (direct):
Sc: 0.000 0.000 0.000
Sc: 0.750 0.250 0.500
Cr: 0.375 0.125 0.250
Cr: 0.375 0.625 0.250
Cr: 0.375 0.625 0.750
Cr: 0.875 0.625 0.750
H: 0.500 0.500 0.000
H: 0.250 0.750 0.500

Computed properties:
The energy above the lowest structure with this stoichiometry is 0.0 meV per atom. The calculation puts the density of states at the Fermi level at 4.46 states/eV per cell. The energy is -7.079 eV/atom.

=====

A plane-wave DFT calculation with PBE was carried out for a geometry-optimized Y2ErCd structure.

a b c (Å): 3.476 3.476 12.236
angles (deg): 81.83 81.83 60.00
Positions (direct):
Y: 0.089 0.089 0.733
Y: 0.911 0.911 0.267
Cd: 0.000 0.000 0.000
Er: 0.500 0.500 0.500

Computed properties:
The calculation puts the formation enthalpy at 0 K at 0.1638 eV per atom. The energy above the lowest structure with this stoichiometry is 315.3 meV per atom. The calculation puts the density of states at the Fermi level at 3.30 states/eV per cell. The energy is -4.438 eV/atom.

=====

A plane-wave DFT calculation with PBE was carried out for a geometry-optimized Ba4PSe2 structure.

a b c (Å): 9.612 9.612 13.571
angles (deg): 90.00 90.00 90.00
Positions (direct):
Ba: 0.243 0.976 0.514
Ba: 0.757 0.976 0.486
Ba: 0.024 0.243 0.764
Ba: 0.757 0.024 0.014
Ba: 0.243 0.481 0.994
Ba: 0.519 0.243 0.244
Ba: 0.481 0.757 0.744
Ba: 0.243 0.519 0.506
Ba: 0.757 0.481 0.006
Ba: 0.757 0.519 0.494
Ba: 0.481 0.243 0.756
Ba: 0.519 0.757 0.256
Ba: 0.976 0.243 0.236
Ba: 0.243 0.024 0.986
Ba: 0.976 0.757 0.264
Ba: 0.024 0.757 0.736
P: 0.000 0.745 0.500
P: 0.255 0.000 0.750
P: 0.745 0.000 0.250
P: 0.000 0.255 0.000
Se: 0.755 0.755 0.875
Se: 0.245 0.755 0.125
Se: 0.755 0.245 0.625
Se: 0.245 0.245 0.375
Se: 0.745 0.500 0.250
Se: 0.500 0.255 0.000
Se: 0.500 0.745 0.500
Se: 0.255 0.500 0.750

Computed properties:
The calculation puts the density of states at the Fermi level at 11.92 states/eV per cell. The energy is -4.293 eV/atom.

=====

A plane-wave DFT calculation with PBE was carried out for a geometry-optimized Li3TmPd6 structure.

a b c (Å): 6.802 6.911 6.911
angles (deg): 111.27 90.00 90.00
Positions (direct):
Li: 0.474 0.828 0.761
Li: 0.974 0.761 0.828
Li: 0.473 0.505 0.495
Li: 0.973 0.495 0.505
Li: 0.974 0.172 0.239
Li: 0.474 0.239 0.172
Tm: 0.974 0.217 0.783
Tm: 0.474 0.783 0.217
Pd: 0.189 0.824 0.552
Pd: 0.689 0.552 0.824
Pd: 0.258 0.552 0.824
Pd: 0.758 0.824 0.552
Pd: 0.224 0.000 0.000
Pd: 0.474 0.202 0.798
Pd: 0.974 0.798 0.202
Pd: 0.724 0.000 0.000
Pd: 0.258 0.176 0.448
Pd: 0.758 0.448 0.176
Pd: 0.189 0.448 0.176
Pd: 0.689 0.176 0.448

Computed properties:
The calculation puts the formation enthalpy at 0 K at -0.4725 eV per atom. The energy above the lowest structure with this stoichiometry is 80.4 meV per atom. The calculation puts the density of states at the Fermi level at 6.25 states/eV per cell. The energy is -4.609 eV/atom.

=====

A plane-wave DFT calculation with PBE was carried out for a geometry-optimized TiClO2 structure.

a b c (Å): 3.921 3.921 3.921
angles (deg): 60.00 60.00 60.00
Positions (direct):
Cl: 0.000 0.000 0.000
O: 0.250 0.250 0.250
O: 0.750 0.750 0.750
Ti: 0.500 0.500 0.500

Computed properties:
The energy above the lowest structure with this stoichiometry is 1403.4 meV per atom. The calculation puts the density of states at the Fermi level at 6.22 states/eV per cell. The energy is -5.467 eV/atom.

=====

A plane-wave DFT calculation with PBE was carried out for a geometry-optimized YCuPb structure.

a b c (Å): 4.632 4.632 3.704
angles (deg): 90.00 90.00 120.00
Positions (direct):
Cu: 0.000 0.000 0.160
Pb: 0.667 0.333 0.171
Y: 0.333 0.667 0.669

Computed properties:
The calculation puts the formation enthalpy at 0 K at -0.3130 eV per atom. The calculation puts the density of states at the Fermi level at 1.04 states/eV per cell. The energy is -5.069 eV/atom.

=====

A plane-wave DFT calculation with PBE was carried out for a geometry-optimized NbCrHRu2 structure.

a b c (Å): 3.943 3.943 3.851
angles (deg): 90.00 90.00 90.00
Positions (direct):
Ru: 0.000 0.500 0.000
Ru: 0.500 0.000 0.000
Nb: 0.500 0.500 0.500
H: 0.000 0.000 0.000
Cr: 0.000 0.000 0.500

Computed properties:
The energy above the lowest structure with this stoichiometry is 0.0 meV per atom. The calculation puts the density of states at the Fermi level at 6.16 states/eV per cell. The energy is -8.348 eV/atom.

=====

A plane-wave DFT calculation with PBE was carried out for a geometry-optimized CrCo4Ge2 structure.

a b c (Å): 3.961 3.961 6.810
angles (deg): 73.09 73.09 60.00
Each line ends with the local moment (μB).
Positions (direct):
Cr: 0.000 0.000 0.000  1.74
Ge: 0.752 0.752 0.743  -0.03
Ge: 0.248 0.248 0.257  -0.03
Co: 0.875 0.875 0.375  0.04
Co: 0.125 0.125 0.625  0.04
Co: 0.624 0.624 0.127  0.35
Co: 0.376 0.376 0.873  0.35

Computed properties:
The calculation puts the formation enthalpy at 0 K at -0.0209 eV per atom. The calculation puts the density of states at the Fermi level at 9.32 states/eV per cell. The energy is -6.775 eV/atom.